Entry 1:
Entry from Alexandria via LeMat-Bulk: crystalline Ba2SrAu at its relaxed geometry (PBE).

Cell and atoms, written as CIF:
```
data_Ba2SrAu
_chemical_formula_sum 'Ba4 Sr2 Au2'
_space_group_name_H-M_alt 'P 1'
_space_group_IT_number 1
_cell_length_a 5.7552
_cell_length_b 5.7638
_cell_length_c 10.7206
_cell_angle_alpha 90.00
_cell_angle_beta 90.00
_cell_angle_gamma 90.00
loop_
_space_group_symop_operation_xyz
'x,y,z'
loop_
_atom_site_label
_atom_site_type_symbol
_atom_site_fract_x
_atom_site_fract_y
_atom_site_fract_z
Ba1 Ba 0.0000 0.0000 0.0000
Ba2 Ba 0.0000 0.5000 0.3375
Ba3 Ba 0.5000 0.0000 0.3375
Ba4 Ba 0.5000 0.5000 0.0000
Sr1 Sr 0.0000 0.0000 0.6559
Sr2 Sr 0.5000 0.5000 0.6559
Au1 Au 0.0000 0.5000 0.8160
Au2 Au 0.5000 0.0000 0.8160
```

Results
space group: Cmm2, No. 35
DFT formation energy: -357 meV per atom
energy above the lowest structure with this stoichiometry: 0.044 eV/atom

Entry 2:
Entry from Alexandria via LeMat-Bulk: crystalline NdPuGe2 at its relaxed geometry (PBE).

Cell and atoms, written as CIF:
```
data_NdPuGe2
_chemical_formula_sum 'Nd3 Pu3 Ge6'
_space_group_name_H-M_alt 'P 1'
_space_group_IT_number 1
_cell_length_a 4.3255
_cell_length_b 4.3255
_cell_length_c 19.8354
_cell_angle_alpha 90.00
_cell_angle_beta 90.00
_cell_angle_gamma 120.00
loop_
_space_group_symop_operation_xyz
'x,y,z'
loop_
_atom_site_label
_atom_site_type_symbol
_atom_site_fract_x
_atom_site_fract_y
_atom_site_fract_z
Nd1 Nd 0.0000 0.0000 0.0000
Nd2 Nd 0.3333 0.6667 0.6667
Nd3 Nd 0.6667 0.3333 0.3333
Pu1 Pu 0.0000 0.0000 0.5000
Pu2 Pu 0.3333 0.6667 0.1667
Pu3 Pu 0.6667 0.3333 0.8333
Ge1 Ge 0.0000 0.0000 0.2430
Ge2 Ge 0.0000 0.0000 0.7570
Ge3 Ge 0.3333 0.6667 0.4237
Ge4 Ge 0.3333 0.6667 0.9097
Ge5 Ge 0.6667 0.3333 0.0903
Ge6 Ge 0.6667 0.3333 0.5763
```

Results
space group: R-3m, No. 166
DFT formation energy: -413 meV per atom

Entry 3:
Entry from Alexandria via LeMat-Bulk: crystalline YW at its relaxed geometry (PBE).

Cell and atoms, written as CIF:
```
data_YW
_chemical_formula_sum 'Y3 W3'
_space_group_name_H-M_alt 'P 1'
_space_group_IT_number 1
_cell_length_a 3.0637
_cell_length_b 3.0637
_cell_length_c 15.6373
_cell_angle_alpha 90.00
_cell_angle_beta 90.00
_cell_angle_gamma 120.00
loop_
_space_group_symop_operation_xyz
'x,y,z'
loop_
_atom_site_label
_atom_site_type_symbol
_atom_site_fract_x
_atom_site_fract_y
_atom_site_fract_z
Y1 Y 0.0000 0.0000 0.0000
Y2 Y 0.3333 0.6667 0.6667
Y3 Y 0.6667 0.3333 0.3333
W1 W 0.0000 0.0000 0.5000
W2 W 0.3333 0.6667 0.1667
W3 W 0.6667 0.3333 0.8333
```

Results
space group: R-3m, No. 166
DFT formation energy: 872 meV per atom
energy above the lowest structure with this stoichiometry: 0.624 eV/atom

Entry 4:
Entry from Alexandria via LeMat-Bulk: crystalline AcLaHo6 at its relaxed geometry (PBE).

Cell and atoms, written as CIF:
```
data_AcLaHo6
_chemical_formula_sum 'Ac2 La2 Ho12'
_space_group_name_H-M_alt 'P 1'
_space_group_IT_number 1
_cell_length_a 9.8983
_cell_length_b 6.9106
_cell_length_c 8.8985
_cell_angle_alpha 90.00
_cell_angle_beta 102.71
_cell_angle_gamma 90.00
loop_
_space_group_symop_operation_xyz
'x,y,z'
loop_
_atom_site_label
_atom_site_type_symbol
_atom_site_fract_x
_atom_site_fract_y
_atom_site_fract_z
Ac1 Ac 0.0000 0.0000 0.0000
Ac2 Ac 0.5000 0.5000 0.0000
La1 La 0.0000 0.5000 0.5000
La2 La 0.5000 0.0000 0.5000
Ho1 Ho 0.1225 0.5000 0.9196
Ho2 Ho 0.2155 0.2604 0.2968
Ho3 Ho 0.2155 0.7396 0.2968
Ho4 Ho 0.2845 0.2396 0.7032
Ho5 Ho 0.2845 0.7604 0.7032
Ho6 Ho 0.3775 0.0000 0.0804
Ho7 Ho 0.6225 0.0000 0.9196
Ho8 Ho 0.7155 0.2396 0.2968
Ho9 Ho 0.7155 0.7604 0.2968
Ho10 Ho 0.7845 0.2604 0.7032
Ho11 Ho 0.7845 0.7396 0.7032
Ho12 Ho 0.8775 0.5000 0.0804
```

Results
space group: C2/m, No. 12
DFT formation energy: 402 meV per atom

Entry 5:
Entry from Alexandria via LeMat-Bulk: crystalline LaHoCdNi at its relaxed geometry (PBE).

Cell and atoms, written as CIF:
```
data_LaHoCdNi
_chemical_formula_sum 'La4 Ho4 Cd4 Ni4'
_space_group_name_H-M_alt 'P 1'
_space_group_IT_number 1
_cell_length_a 7.3315
_cell_length_b 7.3315
_cell_length_c 7.3315
_cell_angle_alpha 90.00
_cell_angle_beta 90.00
_cell_angle_gamma 90.00
loop_
_space_group_symop_operation_xyz
'x,y,z'
loop_
_atom_site_label
_atom_site_type_symbol
_atom_site_fract_x
_atom_site_fract_y
_atom_site_fract_z
La1 La 0.0000 0.0000 0.0000
La2 La 0.0000 0.5000 0.5000
La3 La 0.5000 0.0000 0.5000
La4 La 0.5000 0.5000 0.0000
Ho1 Ho 0.0000 0.0000 0.5000
Ho2 Ho 0.0000 0.5000 0.0000
Ho3 Ho 0.5000 0.0000 0.0000
Ho4 Ho 0.5000 0.5000 0.5000
Cd1 Cd 0.2500 0.2500 0.7500
Cd2 Cd 0.2500 0.7500 0.2500
Cd3 Cd 0.7500 0.2500 0.2500
Cd4 Cd 0.7500 0.7500 0.7500
Ni1 Ni 0.2500 0.2500 0.2500
Ni2 Ni 0.2500 0.7500 0.7500
Ni3 Ni 0.7500 0.2500 0.7500
Ni4 Ni 0.7500 0.7500 0.2500
```

Results
space group: F-43m, No. 216
DFT formation energy: -206 meV per atom

Entry 6:
Entry from Alexandria via LeMat-Bulk: crystalline Al2AuCl at its relaxed geometry (PBE).

Cell and atoms, written as CIF:
```
data_Al2AuCl
_chemical_formula_sum 'Al4 Au2 Cl2'
_space_group_name_H-M_alt 'P 1'
_space_group_IT_number 1
_cell_length_a 7.6747
_cell_length_b 7.1882
_cell_length_c 3.0525
_cell_angle_alpha 90.00
_cell_angle_beta 112.53
_cell_angle_gamma 90.00
loop_
_space_group_symop_operation_xyz
'x,y,z'
loop_
_atom_site_label
_atom_site_type_symbol
_atom_site_fract_x
_atom_site_fract_y
_atom_site_fract_z
Al1 Al 0.2500 0.2500 0.0000
Al2 Al 0.2500 0.7500 0.0000
Al3 Al 0.7500 0.2500 0.0000
Al4 Al 0.7500 0.7500 0.0000
Au1 Au 0.0000 0.0000 0.0000
Au2 Au 0.5000 0.5000 0.0000
Cl1 Cl 0.0000 0.5000 0.0000
Cl2 Cl 0.5000 0.0000 0.0000
```

Results
space group: C2/m, No. 12
uncorrected formation energy: -0.251 eV per atom
energy above the lowest structure with this stoichiometry: 0.247 eV/atom

Entry 7:
Entry from Alexandria via LeMat-Bulk: crystalline SmErTmSc at its relaxed geometry (PBE).

Cell and atoms, written as CIF:
```
data_SmErTmSc
_chemical_formula_sum 'Sm2 Er2 Tm2 Sc2'
_space_group_name_H-M_alt 'P 1'
_space_group_IT_number 1
_cell_length_a 3.7554
_cell_length_b 5.5822
_cell_length_c 11.3949
_cell_angle_alpha 90.00
_cell_angle_beta 90.00
_cell_angle_gamma 90.00
loop_
_space_group_symop_operation_xyz
'x,y,z'
loop_
_atom_site_label
_atom_site_type_symbol
_atom_site_fract_x
_atom_site_fract_y
_atom_site_fract_z
Sm1 Sm 0.0000 0.0000 0.0000
Sm2 Sm 0.5000 0.5000 0.5000
Er1 Er 0.0000 0.5000 0.7694
Er2 Er 0.5000 0.0000 0.2694
Tm1 Tm 0.0000 0.5000 0.2327
Tm2 Tm 0.5000 0.0000 0.7327
Sc1 Sc 0.0000 0.0000 0.5017
Sc2 Sc 0.5000 0.5000 0.0017
```

Results
space group: Imm2, No. 44
DFT formation energy: 97 meV per atom
energy above the lowest structure with this stoichiometry: 0.000 eV/atom

Entry 8:
Entry from Alexandria via LeMat-Bulk: crystalline Ir3Ru2 at its relaxed geometry (PBE).

Cell and atoms, written as CIF:
```
data_Ir3Ru2
_chemical_formula_sum 'Ir6 Ru4'
_space_group_name_H-M_alt 'P 1'
_space_group_IT_number 1
_cell_length_a 4.7676
_cell_length_b 4.3614
_cell_length_c 7.2682
_cell_angle_alpha 90.00
_cell_angle_beta 109.06
_cell_angle_gamma 90.00
loop_
_space_group_symop_operation_xyz
'x,y,z'
loop_
_atom_site_label
_atom_site_type_symbol
_atom_site_fract_x
_atom_site_fract_y
_atom_site_fract_z
Ir1 Ir 0.0319 0.2500 0.3986
Ir2 Ir 0.3654 0.7500 0.3973
Ir3 Ir 0.4329 0.2500 0.1964
Ir4 Ir 0.5671 0.7500 0.8036
Ir5 Ir 0.6346 0.2500 0.6027
Ir6 Ir 0.9681 0.7500 0.6014
Ru1 Ru 0.1662 0.7500 0.9998
Ru2 Ru 0.2346 0.2500 0.8028
Ru3 Ru 0.7654 0.7500 0.1972
Ru4 Ru 0.8338 0.2500 0.0002
```

Results
space group: P2_1/m, No. 11
DFT formation energy: -9 meV per atom
energy above the lowest structure with this stoichiometry: 0.014 eV/atom

Entry 9:
Entry from Alexandria via LeMat-Bulk: crystalline LaCoMo at its relaxed geometry (PBE).

Cell and atoms, written as CIF:
```
data_LaCoMo
_chemical_formula_sum 'La4 Co4 Mo4'
_space_group_name_H-M_alt 'P 1'
_space_group_IT_number 1
_cell_length_a 4.0265
_cell_length_b 13.3534
_cell_length_c 4.3182
_cell_angle_alpha 90.00
_cell_angle_beta 90.00
_cell_angle_gamma 90.00
loop_
_space_group_symop_operation_xyz
'x,y,z'
loop_
_atom_site_label
_atom_site_type_symbol
_atom_site_fract_x
_atom_site_fract_y
_atom_site_fract_z
La1 La 0.0000 0.2078 0.2500
La2 La 0.0000 0.7922 0.7500
La3 La 0.5000 0.2922 0.7500
La4 La 0.5000 0.7078 0.2500
Co1 Co 0.0000 0.4458 0.7500
Co2 Co 0.0000 0.5542 0.2500
Co3 Co 0.5000 0.0542 0.2500
Co4 Co 0.5000 0.9458 0.7500
Mo1 Mo 0.0000 0.0506 0.7500
Mo2 Mo 0.0000 0.9494 0.2500
Mo3 Mo 0.5000 0.4494 0.2500
Mo4 Mo 0.5000 0.5506 0.7500
```

Results
space group: Cmcm, No. 63
DFT formation energy: 296 meV per atom
energy above the lowest structure with this stoichiometry: 0.209 eV/atom

Entry 10:
Entry from Alexandria via LeMat-Bulk: crystalline CaNi4Au8 at its relaxed geometry (PBE).

Cell and atoms, written as CIF:
```
data_CaNi4Au8
_chemical_formula_sum 'Ca1 Ni4 Au8'
_space_group_name_H-M_alt 'P 1'
_space_group_IT_number 1
_cell_length_a 6.9553
_cell_length_b 6.9553
_cell_length_c 6.9553
_cell_angle_alpha 98.31
_cell_angle_beta 98.31
_cell_angle_gamma 135.30
loop_
_space_group_symop_operation_xyz
'x,y,z'
loop_
_atom_site_label
_atom_site_type_symbol
_atom_site_fract_x
_atom_site_fract_y
_atom_site_fract_z
Ca1 Ca 0.0000 0.0000 0.0000
Ni1 Ni 0.0000 0.0000 0.5000
Ni2 Ni 0.0000 0.5000 0.0000
Ni3 Ni 0.5000 0.0000 0.0000
Ni4 Ni 0.5000 0.5000 0.5000
Au1 Au 0.0000 0.3332 0.3332
Au2 Au 0.0000 0.6668 0.6668
Au3 Au 0.2785 0.5000 0.7785
Au4 Au 0.3332 0.0000 0.3332
Au5 Au 0.5000 0.2785 0.7785
Au6 Au 0.5000 0.7215 0.2215
Au7 Au 0.6668 0.0000 0.6668
Au8 Au 0.7215 0.5000 0.2215
```

Results
space group: I4/mmm, No. 139
DFT formation energy: -155 meV per atom

Entry 11:
Entry from Alexandria via LeMat-Bulk: crystalline TeOsBr2 at its relaxed geometry (PBE).

Cell and atoms, written as CIF:
```
data_TeOsBr2
_chemical_formula_sum 'Te4 Os4 Br8'
_space_group_name_H-M_alt 'P 1'
_space_group_IT_number 1
_cell_length_a 7.0914
_cell_length_b 7.0914
_cell_length_c 7.0914
_cell_angle_alpha 90.00
_cell_angle_beta 90.00
_cell_angle_gamma 90.00
loop_
_space_group_symop_operation_xyz
'x,y,z'
loop_
_atom_site_label
_atom_site_type_symbol
_atom_site_fract_x
_atom_site_fract_y
_atom_site_fract_z
Te1 Te 0.0000 0.0000 0.0000
Te2 Te 0.0000 0.5000 0.5000
Te3 Te 0.5000 0.0000 0.5000
Te4 Te 0.5000 0.5000 0.0000
Os1 Os 0.0000 0.0000 0.5000
Os2 Os 0.0000 0.5000 0.0000
Os3 Os 0.5000 0.0000 0.0000
Os4 Os 0.5000 0.5000 0.5000
Br1 Br 0.2500 0.2500 0.2500
Br2 Br 0.2500 0.2500 0.7500
Br3 Br 0.2500 0.7500 0.2500
Br4 Br 0.2500 0.7500 0.7500
Br5 Br 0.7500 0.2500 0.2500
Br6 Br 0.7500 0.2500 0.7500
Br7 Br 0.7500 0.7500 0.2500
Br8 Br 0.7500 0.7500 0.7500
```

Results
space group: Fm-3m, No. 225
uncorrected formation energy: 1.471 eV per atom
energy above the lowest structure with this stoichiometry: 1.404 eV/atom

Entry 12:
Entry from Alexandria via LeMat-Bulk: crystalline Tm4Cu3Ir at its relaxed geometry (PBE).

Cell and atoms, written as CIF:
```
data_Tm4Cu3Ir
_chemical_formula_sum 'Tm4 Cu3 Ir1'
_space_group_name_H-M_alt 'P 1'
_space_group_IT_number 1
_cell_length_a 4.8264
_cell_length_b 4.8264
_cell_length_c 6.8028
_cell_angle_alpha 90.00
_cell_angle_beta 90.00
_cell_angle_gamma 90.00
loop_
_space_group_symop_operation_xyz
'x,y,z'
loop_
_atom_site_label
_atom_site_type_symbol
_atom_site_fract_x
_atom_site_fract_y
_atom_site_fract_z
Tm1 Tm 0.0000 0.5000 0.2458
Tm2 Tm 0.0000 0.5000 0.7542
Tm3 Tm 0.5000 0.0000 0.2458
Tm4 Tm 0.5000 0.0000 0.7542
Cu1 Cu 0.0000 0.0000 0.0000
Cu2 Cu 0.0000 0.0000 0.5000
Cu3 Cu 0.5000 0.5000 0.5000
Ir1 Ir 0.5000 0.5000 0.0000
```

Results
space group: P4/mmm, No. 123
DFT formation energy: -477 meV per atom

What did the sixth record say?
Entry from Alexandria via LeMat-Bulk: crystalline Al2AuCl at its relaxed geometry (PBE).

Cell and atoms, written as CIF:
```
data_Al2AuCl
_chemical_formula_sum 'Al4 Au2 Cl2'
_space_group_name_H-M_alt 'P 1'
_space_group_IT_number 1
_cell_length_a 7.6747
_cell_length_b 7.1882
_cell_length_c 3.0525
_cell_angle_alpha 90.00
_cell_angle_beta 112.53
_cell_angle_gamma 90.00
loop_
_space_group_symop_operation_xyz
'x,y,z'
loop_
_atom_site_label
_atom_site_type_symbol
_atom_site_fract_x
_atom_site_fract_y
_atom_site_fract_z
Al1 Al 0.2500 0.2500 0.0000
Al2 Al 0.2500 0.7500 0.0000
Al3 Al 0.7500 0.2500 0.0000
Al4 Al 0.7500 0.7500 0.0000
Au1 Au 0.0000 0.0000 0.0000
Au2 Au 0.5000 0.5000 0.0000
Cl1 Cl 0.0000 0.5000 0.0000
Cl2 Cl 0.5000 0.0000 0.0000
```

Results
space group: C2/m, No. 12
uncorrected formation energy: -0.251 eV per atom
energy above the lowest structure with this stoichiometry: 0.247 eV/atom

What is the formula in the eleventh record? TeOsBr2